## w
VASP calculation (GGA-PBEsol) on a relaxed Ba2Zr crystal.

As for the calculated volume: 488 Å³ per cell.

It has space group I4/mcm (No. 140), with a = 9.363 Å, b = 9.363 Å, c = 5.561 Å, α = 90.00°, β = 90.00° and γ = 90.00°. Symmetry generates all atoms from Ba at (0.159, 0.341, 0.000) and Zr at (0.000, 0.000, 0.250).


## x
VASP calculation (GGA-PBEsol) on a relaxed Ba2Zr crystal.

As for the calculated volume: 448 Å³ per cell.

It has space group Cmcm (No. 63), with a = 3.588 Å, b = 20.182 Å, c = 6.185 Å, α = 90.00°, β = 90.00° and γ = 90.00°. Symmetry generates all atoms from Ba at (0.000, 0.048, 0.250), Ba at (0.000, 0.282, 0.750) and Zr at (0.000, 0.380, 0.250).


Preferred: w; penalty for the next structure: 167 meV/atom.


## w
VASP calculation (GGA-PBEsol) on a relaxed Be crystal.

As for the calculated volume: 16 Å³ per cell.

It has space group P6_3/mmc (No. 194), with a = 2.2577 Å, b = 2.2577 Å, c = 3.5580 Å, α = 90.00°, β = 90.00° and γ = 120.00°. Symmetry generates all atoms from Be at (0.3333, 0.6667, 0.2500).


## x
VASP calculation (GGA-PBEsol) on a relaxed Be crystal.

As for the calculated volume: 32 Å³ per cell.

It has space group P4_2/mnm (No. 136), with a = 3.762 Å, b = 3.762 Å, c = 2.251 Å, α = 90.00°, β = 90.00° and γ = 90.00°. Symmetry generates all atoms from Be at (0.201, 0.201, 0.000).


Preferred: w; penalty for the next structure: 56 meV/atom.